[1]
An optimized crystal structure of SrFeGe2S, computed with PBE.

Unit cell a=4.350 b=5.606 c=4.350 alpha=90.00 beta=90.00 gamma=90.00
Site moments in Bohr magnetons follow the coordinates.
Fractional coordinates of all 5 atoms:
Sr (0.500, 0.500, 0.500)  0.01
S (0.000, 0.500, 0.000)  -0.02
Ge (0.500, 0.000, 0.000)  -0.02
Ge (0.000, 0.000, 0.500)  -0.01
Fe (0.000, 0.000, 0.000)  0.41

Calculated values
ΔE_f (raw): -320 meV/atom
Symmetry: No. 123
Calculated total energy: -25.11 eV for the cell shown

[2]
An optimized crystal structure of FeGeTe2S, computed with PBE.

Unit cell a=5.193 b=4.898 c=5.193 alpha=90.00 beta=90.00 gamma=90.00
Site moments in Bohr magnetons follow the coordinates.
Fractional coordinates of all 5 atoms:
Te (0.000, 0.000, 0.500)  0.01
Te (0.500, 0.000, 0.000)  0.02
S (0.000, 0.000, 0.000)  -0.01
Ge (0.000, 0.500, 0.000)  -0.08
Fe (0.500, 0.500, 0.500)  3.25

Calculated values
ΔE_f (raw): 910 meV/atom
Symmetry: No. 123
Calculated total energy: -18.94 eV for the cell shown

[3]
An optimized crystal structure of Fe3GeSb, computed with PBE.

Unit cell a=4.428 b=4.428 c=4.428 alpha=90.00 beta=90.00 gamma=90.00
Site moments in Bohr magnetons follow the coordinates.
Fractional coordinates of all 5 atoms:
Sb (0.500, 0.500, 0.500)  -0.01
Fe (0.500, 0.000, 0.000)  2.34
Fe (0.000, 0.500, 0.000)  2.28
Fe (0.000, 0.000, 0.500)  2.17
Ge (0.000, 0.000, 0.000)  -0.15

Calculated values
ΔE_f (raw): 702 meV/atom
Symmetry: No. 221
Relative energy among the computed polymorphs: 0 meV per atom
Calculated total energy: -30.62 eV for the cell shown

[4]
An optimized crystal structure of Fe2Ge2Sb, computed with PBE.

Unit cell a=7.166 b=7.166 c=2.889 alpha=90.00 beta=90.00 gamma=90.00
Fractional coordinates of all 10 atoms:
Fe (0.350, 0.850, 0.000)
Fe (0.850, 0.650, 0.000)
Fe (0.150, 0.350, 0.000)
Fe (0.650, 0.150, 0.000)
Ge (0.640, 0.860, 0.500)
Ge (0.860, 0.360, 0.500)
Ge (0.140, 0.640, 0.500)
Ge (0.360, 0.140, 0.500)
Sb (0.000, 0.000, 0.000)
Sb (0.500, 0.500, 0.000)

Calculated values
ΔE_f (raw): 185 meV/atom
Symmetry: No. 127
Relative energy among the computed polymorphs: 7 meV per atom
Calculated total energy: -58.72 eV for the cell shown

[5]
An optimized crystal structure of FeGeSb, computed with PBE.

Unit cell a=3.109 b=5.820 c=3.110 alpha=85.36 beta=95.90 gamma=94.61
Site moments in Bohr magnetons follow the coordinates.
Fractional coordinates of all 3 atoms:
Sb (0.230, 0.812, 0.536)  -0.02
Ge (0.235, 0.325, 0.530)  -0.03
Fe (0.683, 0.111, 0.082)  1.17

Calculated values
ΔE_f (raw): 170 meV/atom
Symmetry: No. 8
Relative energy among the computed polymorphs: 57 meV per atom
Calculated total energy: -16.69 eV for the cell shown

[6]
An optimized crystal structure of FeGeSb, computed with PBE.

Unit cell a=4.224 b=4.222 c=6.069 alpha=89.97 beta=89.97 gamma=90.00
Site moments in Bohr magnetons follow the coordinates.
Fractional coordinates of all 6 atoms:
Sb (0.500, 0.000, 0.250)  0.00
Sb (0.500, 0.000, 0.750)  0.00
Ge (0.000, 0.500, 0.250)  0.00
Ge (0.000, 0.500, 0.750)  0.00
Fe (0.000, 0.000, 0.000)  0.83
Fe (0.500, 0.500, 0.500)  -0.82

Calculated values
ΔE_f (raw): 143 meV/atom
Symmetry: No. 131
Relative energy among the computed polymorphs: 30 meV per atom
Calculated total energy: -33.55 eV for the cell shown

[7]
An optimized crystal structure of FeGeSb, computed with PBE.

Unit cell a=4.445 b=4.692 c=3.259 alpha=69.71 beta=111.46 gamma=101.09
Site moments in Bohr magnetons follow the coordinates.
Fractional coordinates of all 3 atoms:
Ge (0.932, 0.247, 0.566)  -0.05
Fe (0.510, 0.284, 0.836)  1.06
Sb (0.458, 0.716, 0.094)  0.00

Calculated values
ΔE_f (raw): 130 meV/atom
Symmetry: No. 8
Relative energy among the computed polymorphs: 17 meV per atom
Calculated total energy: -16.81 eV for the cell shown

[8]
An optimized crystal structure of FeGeSb2, computed with PBE.

Unit cell a=5.997 b=5.997 c=7.303 alpha=65.76 beta=65.76 gamma=90.00
Fractional coordinates of all 8 atoms:
Fe (0.500, 0.500, 0.000)
Fe (0.250, 0.750, 0.500)
Ge (0.000, 0.000, 0.000)
Ge (0.750, 0.250, 0.500)
Sb (0.166, 0.625, 0.250)
Sb (0.375, 0.416, 0.750)
Sb (0.875, 0.834, 0.750)
Sb (0.584, 0.125, 0.250)

Calculated values
ΔE_f (raw): 380 meV/atom
Symmetry: No. 122
Calculated total energy: -39.61 eV for the cell shown

[9]
An optimized crystal structure of FeGeSb, computed with PBE.

Unit cell a=3.400 b=5.776 c=3.435 alpha=89.99 beta=59.57 gamma=90.07
Site moments in Bohr magnetons follow the coordinates.
Fractional coordinates of all 3 atoms:
Sb (0.495, 0.811, 0.412)  -0.05
Fe (0.166, 0.099, 0.077)  1.14
Ge (0.496, 0.337, 0.411)  -0.06

Calculated values
ΔE_f (raw): 188 meV/atom
Symmetry: No. 8
Relative energy among the computed polymorphs: 75 meV per atom
Calculated total energy: -16.64 eV for the cell shown

[10]
An optimized crystal structure of FeGeSb, computed with PBE.

Unit cell a=5.759 b=3.306 c=3.306 alpha=120.00 beta=90.03 gamma=89.98
Site moments in Bohr magnetons follow the coordinates.
Fractional coordinates of all 3 atoms:
Ge (0.272, 0.517, 0.132)  -0.07
Sb (0.844, 0.184, 0.466)  -0.06
Fe (0.535, 0.851, 0.799)  1.56

Calculated values
ΔE_f (raw): 176 meV/atom
Symmetry: No. 156
Relative energy among the computed polymorphs: 63 meV per atom
Calculated total energy: -16.68 eV for the cell shown

[11]
An optimized crystal structure of Fe2Ge2Sb, computed with PBE.

Unit cell a=3.638 b=3.638 c=6.361 alpha=73.38 beta=73.38 gamma=90.00
Site moments in Bohr magnetons follow the coordinates.
Fractional coordinates of all 5 atoms:
Fe (0.389, 0.389, 0.222)  0.46
Fe (0.611, 0.611, 0.778)  0.46
Ge (0.750, 0.250, 0.500)  -0.04
Ge (0.250, 0.750, 0.500)  -0.04
Sb (0.000, 0.000, 0.000)  0.00

Calculated values
ΔE_f (raw): 178 meV/atom
Symmetry: No. 139
Relative energy among the computed polymorphs: 0 meV per atom
Calculated total energy: -29.39 eV for the cell shown

[12]
An optimized crystal structure of FeGe2Sb, computed with PBE.

Unit cell a=5.725 b=5.725 c=7.109 alpha=66.25 beta=66.25 gamma=90.00
Fractional coordinates of all 8 atoms:
Sb (0.000, 0.000, 0.000)
Sb (0.750, 0.250, 0.500)
Ge (0.375, 0.446, 0.750)
Ge (0.554, 0.125, 0.250)
Ge (0.196, 0.625, 0.250)
Ge (0.875, 0.804, 0.750)
Fe (0.250, 0.750, 0.500)
Fe (0.500, 0.500, 0.000)

Calculated values
ΔE_f (raw): 442 meV/atom
Symmetry: No. 122
Calculated total energy: -40.10 eV for the cell shown